[1]
NaPm6Tl5 | the Alexandria database | PBE-GGA | relaxed; energy of formation from the pure elements = -0.300 eV/atom; total DFT energy (no corrections) = -45.3 eV for the cell shown; SG = Immm, No. 71; Fermi-level density of states = 12.45 states/eV per cell
1.0
5.302 -0.005 -1.486
-3.989 7.709 -4.054
-0.196 -1.172 9.506
Na Tl Pm
1 5 6
direct
0.000 0.000 0.000 Na
0.500 0.153 0.847 Tl
0.000 0.333 0.667 Tl
0.500 0.500 0.500 Tl
0.000 0.667 0.333 Tl
0.500 0.847 0.153 Tl
0.253 0.082 0.424 Pm
0.747 0.576 0.918 Pm
0.761 0.261 0.261 Pm
0.239 0.739 0.739 Pm
0.253 0.424 0.082 Pm
0.747 0.918 0.576 Pm

=====

[2]
NaPmTl4 | the Alexandria database | PBE-GGA | relaxed; energy of formation from the pure elements = -0.162 eV/atom; total DFT energy (no corrections) = -16.5 eV for the cell shown; SG = P1, No. 1; Fermi-level density of states = 3.04 states/eV per cell
1.0
-2.853 0.796 -2.156
2.835 -1.092 -4.120
-5.999 -7.952 -2.046
Na Pm Tl
1 1 4
direct
0.000 0.997 0.499 Na
0.502 0.497 0.998 Pm
0.705 0.997 0.164 Tl
0.294 0.997 0.833 Tl
0.223 0.497 0.663 Tl
0.783 0.497 0.333 Tl

=====

[3]
NaPmTl4 | the Alexandria database | PBE-GGA | relaxed; energy of formation from the pure elements = -0.032 eV/atom; total DFT energy (no corrections) = -15.7 eV for the cell shown; SG = F-43m, No. 216; Fermi-level density of states = 3.53 states/eV per cell
1.0
-0.798 -1.013 6.201
3.507 -4.355 2.974
4.475 1.801 4.105
Na Tl Pm
1 4 1
direct
0.250 0.250 0.250 Na
0.625 0.625 0.125 Tl
0.625 0.125 0.625 Tl
0.625 0.625 0.625 Tl
0.125 0.625 0.625 Tl
0.000 0.000 0.000 Pm

=====

[4]
NaPmTl6 | the Alexandria database | PBE-GGA | relaxed; energy of formation from the pure elements = -0.151 eV/atom; total DFT energy (no corrections) = -21.5 eV for the cell shown; SG = P4/mmm, No. 123; Fermi-level density of states = 4.35 states/eV per cell
1.0
4.912 0.000 0.000
0.000 6.799 -0.044
0.000 0.042 6.799
Na Pm Tl
1 1 6
direct
0.500 0.500 0.500 Na
0.500 0.000 0.000 Pm
0.000 0.750 0.250 Tl
0.000 0.250 0.750 Tl
0.000 0.750 0.750 Tl
0.000 0.250 0.250 Tl
0.500 0.500 0.000 Tl
0.500 0.000 0.500 Tl

=====

[5]
NaPm2Tl9 | the Alexandria database | PBE-GGA | relaxed; energy of formation from the pure elements = -0.204 eV/atom; total DFT energy (no corrections) = -34.6 eV for the cell shown; SG = P4/mmm, No. 123; Fermi-level density of states = 5.90 states/eV per cell
1.0
-0.073 2.717 -3.982
-4.376 1.635 1.196
6.100 10.943 7.354
Na Pm Tl
1 2 9
direct
0.000 0.000 0.000 Na
0.000 0.000 0.338 Pm
0.000 0.000 0.662 Pm
0.500 0.500 0.000 Tl
0.500 0.500 0.334 Tl
0.500 0.500 0.666 Tl
0.500 0.000 0.167 Tl
0.500 0.000 0.500 Tl
0.500 0.000 0.833 Tl
0.000 0.500 0.167 Tl
0.000 0.500 0.500 Tl
0.000 0.500 0.833 Tl

=====

[6]
NaPm4Tl4 | the Alexandria database | PBE-GGA | relaxed; energy of formation from the pure elements = -0.125 eV/atom; total DFT energy (no corrections) = -61.8 eV for the cell shown; SG = P4_2/n, No. 86; Fermi-level density of states = 16.39 states/eV per cell
1.0
6.613 0.000 0.000
0.000 9.170 0.000
0.000 0.000 9.170
Na Pm Tl
2 8 8
direct
0.000 0.000 0.000 Na
0.500 0.500 0.500 Na
0.382 0.261 0.914 Pm
0.882 0.586 0.761 Pm
0.382 0.739 0.086 Pm
0.118 0.239 0.586 Pm
0.618 0.914 0.739 Pm
0.118 0.761 0.414 Pm
0.882 0.414 0.239 Pm
0.618 0.086 0.261 Pm
0.635 0.781 0.411 Tl
0.635 0.219 0.589 Tl
0.135 0.911 0.719 Tl
0.865 0.281 0.911 Tl
0.865 0.719 0.089 Tl
0.365 0.411 0.219 Tl
0.365 0.589 0.781 Tl
0.135 0.089 0.281 Tl

=====

[7]
NaPm2Tl6 | the Alexandria database | PBE-GGA | relaxed; energy of formation from the pure elements = -0.126 eV/atom; total DFT energy (no corrections) = -26.2 eV for the cell shown; SG = Cmmm, No. 65; Fermi-level density of states = 5.24 states/eV per cell
1.0
3.614 0.000 0.292
0.000 8.774 -0.001
-0.673 -4.388 8.326
Na Pm Tl
1 2 6
direct
0.000 0.000 0.000 Na
0.500 0.692 0.384 Pm
0.500 0.308 0.616 Pm
0.000 0.343 0.318 Tl
0.000 0.025 0.682 Tl
0.000 0.657 0.682 Tl
0.500 0.320 0.000 Tl
0.000 0.975 0.318 Tl
0.500 0.680 0.000 Tl

=====

[8]
NaPm3Tl4 | the Alexandria database | PBE-GGA | relaxed; energy of formation from the pure elements = -0.325 eV/atom; total DFT energy (no corrections) = -27.6 eV for the cell shown; SG = R-3m, No. 166; Fermi-level density of states = 5.21 states/eV per cell
1.0
5.188 0.000 1.531
2.368 4.616 1.531
-0.005 -0.003 9.571
Na Tl Pm
1 4 3
direct
0.000 0.000 0.000 Na
0.875 0.875 0.375 Tl
0.375 0.375 0.875 Tl
0.125 0.125 0.625 Tl
0.625 0.625 0.125 Tl
0.255 0.255 0.234 Pm
0.745 0.745 0.766 Pm
0.500 0.500 0.500 Pm

=====

[9]
Na2PmTl3 | the Alexandria database | PBE-GGA | relaxed; energy of formation from the pure elements = -0.206 eV/atom; total DFT energy (no corrections) = -31.5 eV for the cell shown; SG = P-3m1, No. 164; Fermi-level density of states = 5.36 states/eV per cell
1.0
5.396 0.000 0.000
-2.698 4.673 0.000
0.000 0.000 13.299
Na Pm Tl
4 2 6
direct
0.000 0.000 0.500 Na
0.333 0.667 0.164 Na
0.667 0.333 0.836 Na
0.000 0.000 0.000 Na
0.333 0.667 0.661 Pm
0.667 0.333 0.339 Pm
0.333 0.667 0.414 Tl
0.667 0.333 0.086 Tl
0.000 0.000 0.752 Tl
0.000 0.000 0.248 Tl
0.333 0.667 0.914 Tl
0.667 0.333 0.586 Tl

=====

[10]
Na4PmTl5 | the Alexandria database | PBE-GGA | relaxed; energy of formation from the pure elements = -0.155 eV/atom; total DFT energy (no corrections) = -23.4 eV for the cell shown; SG = P4/mmm, No. 123; Fermi-level density of states = 4.55 states/eV per cell
1.0
3.636 0.000 0.000
0.000 3.636 0.000
0.000 0.000 21.654
Na Pm Tl
4 1 5
direct
0.000 0.000 0.194 Na
0.000 0.000 0.396 Na
0.000 0.000 0.604 Na
0.000 0.000 0.806 Na
0.000 0.000 0.000 Pm
0.500 0.500 0.098 Tl
0.500 0.500 0.294 Tl
0.500 0.500 0.500 Tl
0.500 0.500 0.706 Tl
0.500 0.500 0.902 Tl

=====

[11]
Na3Pm2Tl4 | the Alexandria database | PBE-GGA | relaxed; energy of formation from the pure elements = -0.189 eV/atom; total DFT energy (no corrections) = -24.6 eV for the cell shown; SG = C2/m, No. 12; Fermi-level density of states = 4.89 states/eV per cell
1.0
2.241 -1.704 -4.587
5.097 1.286 -1.152
3.281 -8.611 4.769
Na Pm Tl
3 2 4
direct
0.334 0.334 0.563 Na
0.000 0.000 0.000 Na
0.666 0.666 0.437 Na
0.333 0.333 0.197 Pm
0.667 0.667 0.803 Pm
0.666 0.666 0.118 Tl
0.001 0.001 0.667 Tl
0.999 0.999 0.333 Tl
0.334 0.334 0.882 Tl

=====

[12]
Na3PmTl4 | the Alexandria database | PBE-GGA | relaxed; energy of formation from the pure elements = -0.174 eV/atom; total DFT energy (no corrections) = -19.6 eV for the cell shown; SG = I4/mmm, No. 139; Fermi-level density of states = 3.88 states/eV per cell
1.0
5.283 0.000 -1.426
-0.379 5.275 -1.404
-0.580 -0.654 8.352
Na Tl Pm
3 4 1
direct
0.000 0.500 0.000 Na
0.750 0.250 0.500 Na
0.250 0.750 0.500 Na
0.375 0.375 0.749 Tl
0.625 0.625 0.251 Tl
0.125 0.125 0.251 Tl
0.875 0.875 0.749 Tl
0.500 0.000 0.000 Pm

=====

[13]
NaPmTm2Tl4 | the Alexandria database | PBE-GGA | relaxed; energy of formation from the pure elements = -0.275 eV/atom; total DFT energy (no corrections) = -26.7 eV for the cell shown; SG = R-3m, No. 166; Fermi-level density of states = 4.40 states/eV per cell
1.0
-2.613 0.199 4.636
1.701 -2.884 4.141
4.819 5.858 5.524
Na Pm Tm Tl
1 1 2 4
direct
0.500 0.500 0.500 Na
0.000 0.000 0.000 Pm
0.753 0.753 0.740 Tm
0.247 0.247 0.260 Tm
0.377 0.377 0.868 Tl
0.873 0.873 0.381 Tl
0.127 0.127 0.619 Tl
0.623 0.623 0.132 Tl

=====

[14]
NaPmTlZn | the Alexandria database | PBE-GGA | relaxed; energy of formation from the pure elements = -0.180 eV/atom; total DFT energy (no corrections) = -10.4 eV for the cell shown; SG = F-43m, No. 216; Fermi-level density of states = 2.22 states/eV per cell
1.0
5.235 0.000 0.000
2.618 4.534 0.000
2.618 1.511 4.275
Na Tl Zn Pm
1 1 1 1
direct
0.250 0.250 0.250 Na
0.500 0.500 0.500 Tl
0.000 0.000 0.000 Zn
0.750 0.750 0.750 Pm

=====

[15]
NaPm2Tm | the Alexandria database | PBE-GGA | relaxed; energy of formation from the pure elements = 0.131 eV/atom; total DFT energy (no corrections) = -14.8 eV for the cell shown; SG = R-3m, No. 166; Fermi-level density of states = 4.67 states/eV per cell
1.0
3.539 0.000 0.000
1.769 3.065 0.000
1.769 1.022 12.781
Na Tm Pm
1 1 2
direct
0.000 0.000 0.000 Na
0.500 0.500 0.500 Tm
0.093 0.093 0.722 Pm
0.907 0.907 0.278 Pm

=====

[16]
NaPm2Tm | the Alexandria database | PBE-GGA | relaxed; energy of formation from the pure elements = 0.106 eV/atom; total DFT energy (no corrections) = -14.9 eV for the cell shown; SG = P4/mmm, No. 123; Fermi-level density of states = 4.44 states/eV per cell
1.0
-0.973 -1.321 3.110
2.913 -1.968 0.076
5.304 8.045 5.079
Na Tm Pm
1 1 2
direct
0.500 0.500 0.500 Na
0.500 0.500 0.000 Tm
0.000 0.000 0.769 Pm
0.000 0.000 0.231 Pm

=====

[17]
NaPmY | the Alexandria database | PBE-GGA | relaxed; energy of formation from the pure elements = 0.422 eV/atom; total DFT energy (no corrections) = -22.5 eV for the cell shown; SG = Fmmm, No. 69; Fermi-level density of states = 8.54 states/eV per cell
1.0
6.614 0.000 0.000
3.307 5.950 0.000
3.307 0.000 5.388
Y Na Pm
2 2 2
direct
0.750 0.500 0.500 Y
0.250 0.500 0.500 Y
0.872 0.256 0.000 Na
0.128 0.744 0.000 Na
0.672 0.000 0.656 Pm
0.328 0.000 0.344 Pm

=====

[18]
NaPmY | the Alexandria database | PBE-GGA | relaxed; energy of formation from the pure elements = 0.143 eV/atom; total DFT energy (no corrections) = -12.1 eV for the cell shown; SG = I4mm, No. 107; Fermi-level density of states = 3.67 states/eV per cell
1.0
3.543 0.000 0.000
0.000 3.543 0.000
-1.771 -1.771 8.194
Y Na Pm
1 1 1
direct
0.674 0.674 0.348 Y
0.001 0.001 0.003 Na
0.325 0.325 0.649 Pm

=====

[19]
NaPmY | the Alexandria database | PBE-GGA | relaxed; energy of formation from the pure elements = 0.126 eV/atom; total DFT energy (no corrections) = -12.2 eV for the cell shown; SG = P3m1, No. 156; Fermi-level density of states = 4.48 states/eV per cell
1.0
-1.167 1.776 2.899
2.648 -2.409 0.314
6.213 6.626 -1.559
Y Na Pm
1 1 1
direct
0.333 0.667 0.653 Y
0.000 0.000 0.998 Na
0.667 0.333 0.349 Pm

=====

[20]
NaPmY | the Alexandria database | PBE-GGA | relaxed; energy of formation from the pure elements = 0.064 eV/atom; total DFT energy (no corrections) = -24.7 eV for the cell shown; SG = C2/m, No. 12; Fermi-level density of states = 6.02 states/eV per cell
1.0
-1.086 -2.901 -1.737
3.378 -0.991 -0.467
1.823 -12.254 12.018
Na Pm Y
2 2 2
direct
0.160 0.160 0.591 Na
0.840 0.840 0.409 Na
0.486 0.486 0.766 Pm
0.514 0.514 0.234 Pm
0.830 0.830 0.921 Y
0.170 0.170 0.079 Y

=====

[21]
NaPmZn17 | the Alexandria database | PBE-GGA | relaxed; energy of formation from the pure elements = -0.141 eV/atom; total DFT energy (no corrections) = -30.4 eV for the cell shown; SG = R3m, No. 160; Fermi-level density of states = 6.05 states/eV per cell
1.0
6.787 0.025 0.829
0.737 6.747 0.829
0.028 0.025 6.838
Na Pm Zn
1 1 17
direct
0.342 0.342 0.342 Na
0.663 0.663 0.663 Pm
0.296 0.002 0.701 Zn
0.701 0.296 0.002 Zn
0.002 0.701 0.296 Zn
0.296 0.701 0.002 Zn
0.002 0.296 0.701 Zn
0.701 0.002 0.296 Zn
0.351 0.840 0.351 Zn
0.351 0.351 0.840 Zn
0.840 0.351 0.351 Zn
0.649 0.161 0.649 Zn
0.649 0.649 0.161 Zn
0.161 0.649 0.649 Zn
0.996 0.503 0.996 Zn
0.996 0.996 0.503 Zn
0.503 0.996 0.996 Zn
0.901 0.901 0.901 Zn
0.102 0.102 0.102 Zn

=====

[22]
Na2PmZn9 | the Alexandria database | PBE-GGA | relaxed; energy of formation from the pure elements = -0.136 eV/atom; total DFT energy (no corrections) = -20.5 eV for the cell shown; SG = R-3m, No. 166; Fermi-level density of states = 6.44 states/eV per cell
1.0
0.897 -1.325 5.172
0.217 -5.208 1.462
8.844 -2.241 0.725
Na Pm Zn
2 1 9
direct
0.856 0.856 0.432 Na
0.144 0.144 0.568 Na
0.000 0.000 0.000 Pm
0.666 0.666 0.003 Zn
0.334 0.334 0.997 Zn
0.500 0.500 0.500 Zn
0.416 0.416 0.248 Zn
0.921 0.416 0.248 Zn
0.416 0.921 0.248 Zn
0.584 0.584 0.752 Zn
0.584 0.079 0.752 Zn
0.079 0.584 0.752 Zn

=====

[23]
NaPmZn4 | the Alexandria database | PBE-GGA | relaxed; energy of formation from the pure elements = -0.156 eV/atom; total DFT energy (no corrections) = -12.1 eV for the cell shown; SG = F-43m, No. 216; Fermi-level density of states = 5.33 states/eV per cell
1.0
-0.110 -3.712 -4.052
0.964 -5.299 1.099
-4.098 -3.653 -0.271
Na Zn Pm
1 4 1
direct
0.250 0.250 0.250 Na
0.625 0.625 0.125 Zn
0.625 0.125 0.625 Zn
0.625 0.625 0.625 Zn
0.125 0.625 0.625 Zn
0.000 0.000 0.000 Pm

=====

[24]
NaPmZn10 | the Alexandria database | PBE-GGA | relaxed; energy of formation from the pure elements = -0.165 eV/atom; total DFT energy (no corrections) = -20.8 eV for the cell shown; SG = Pmmm, No. 47; Fermi-level density of states = 5.69 states/eV per cell
1.0
4.302 0.000 0.000
0.000 5.257 0.000
0.000 0.000 9.357
Na Pm Zn
1 1 10
direct
0.000 0.500 0.500 Na
0.000 0.000 0.000 Pm
0.000 0.000 0.341 Zn
0.000 0.500 0.818 Zn
0.000 0.500 0.182 Zn
0.000 0.000 0.659 Zn
0.500 0.000 0.500 Zn
0.500 0.500 0.000 Zn
0.500 0.242 0.240 Zn
0.500 0.758 0.760 Zn
0.500 0.758 0.240 Zn
0.500 0.242 0.760 Zn